Record 1
# Li3TlIn2

An optimized crystal structure of Li3TlIn2 (PBE, Alexandria).

a = 3.4707 Å, b = 4.7968 Å, c = 14.4157 Å
α = 90.00°, β = 90.00°, γ = 90.00°
Last column: nearest neighbours and their distance in Å.
Atoms (fractional coordinates):
1 Li 0.4999 0.5000 0.6654  6 In 2.93-2.96, 2 Tl 2.95
2 Li 0.4997 0.0000 0.5000  4 Tl 2.96, 4 In 3.02
3 Li 0.4999 0.5000 0.3346  6 In 2.93-2.96, 2 Tl 2.95
4 Li 0.5001 0.0000 0.1654  6 In 2.93-2.96, 2 Tl 2.95
5 Li 0.5003 0.5000 0.0000  4 Tl 2.96, 4 In 3.02
6 Li 0.5001 0.0000 0.8346  6 In 2.93-2.96, 2 Tl 2.95
7 Tl 0.9997 0.5000 0.5000  8 Li 2.95-2.96
8 Tl 0.0003 0.0000 0.0000  8 Li 2.95-2.96
9 In 0.9999 0.0000 0.6712  8 Li 2.93-3.02
10 In 0.9999 0.0000 0.3288  8 Li 2.93-3.02
11 In 0.0001 0.5000 0.1712  8 Li 2.93-3.02
12 In 0.0001 0.5000 0.8288  8 Li 2.93-3.02

Summary:
- Crystal system: orthorhombic
- Total moment: 0.000 μB/atom
- Space-group type: No. 65
- DOS at the Fermi energy: 3.053 states/eV/f.u.
- Formation enthalpy at 0 K: -0.25 eV/atom


Record 2
# Li8TlIn2

An optimized crystal structure of Li8TlIn2 (PBE, Alexandria).

a = 4.7769 Å, b = 5.3902 Å, c = 8.2967 Å
α = 88.98°, β = 106.73°, γ = 90.00°
Last column: nearest neighbours and their distance in Å.
Atoms (fractional coordinates):
1 Li 0.5947 0.4603 0.1894  6 Li 2.81-3.03, 1 Tl 2.93, 1 In 2.99
2 Li 0.3170 0.0933 0.6339  4 Li 2.81-2.86, 3 In 2.84-2.92, 1 Tl 2.94
3 Li 0.1381 0.1620 0.2763  7 Li 2.78-2.95, 2 In 2.90-3.08
4 Li 0.0420 0.7355 0.0840  5 Li 2.78-2.93, 2 Tl 2.85, 1 In 2.86
5 Li 0.8619 0.8380 0.7237  7 Li 2.78-2.95, 2 In 2.90-3.08
6 Li 0.6830 0.9067 0.3661  4 Li 2.81-2.86, 3 In 2.84-2.92, 1 Tl 2.94
7 Li 0.4053 0.5397 0.8106  6 Li 2.81-3.03, 1 Tl 2.93, 1 In 2.99
8 Li 0.9580 0.2645 0.9160  5 Li 2.78-2.93, 2 Tl 2.85, 1 In 2.86
9 Tl 0.5000 0.0000 0.0000  8 Li 2.85-2.94
10 In 0.2195 0.6395 0.4390  7 Li 2.84-3.08, 2 In 2.98
11 In 0.7805 0.3605 0.5610  7 Li 2.84-3.08, 2 In 2.98

Summary:
- Crystal system: monoclinic
- Total moment: 0.000 μB/atom
- Space-group type: No. 12
- DOS at the Fermi energy: 2.915 states/eV/f.u.
- Formation enthalpy at 0 K: -0.24 eV/atom


Record 3
# LiTl17In11

An optimized crystal structure of LiTl17In11 (PBE, Alexandria).

a = 10.3155 Å, b = 10.3155 Å, c = 10.4185 Å
α = 109.83°, β = 109.83°, γ = 109.24°
Last column: nearest neighbours and their distance in Å.
Atoms (fractional coordinates):
1 Li 0.3741 0.3741 0.1926  3 In 2.98-3.06, 3 Tl 3.10-3.27
2 Tl 0.9938 0.9938 0.3562  4 Tl 3.43-3.76, 6 In 3.55-3.67
3 Tl 0.6701 0.6701 0.2770  1 Li 3.10, 2 In 3.44, 3 Tl 3.45
4 Tl 0.6394 0.6394 0.6424  4 Tl 3.41-3.70, 6 In 3.57-3.64, 1 Li 3.82
5 Tl 0.3897 0.3897 0.7112  5 In 3.26-3.61, 7 Tl 3.45-3.58
6 Tl 0.0015 0.0015 0.0008  11 In 3.59-3.68, 4 Tl 3.65-3.76, 1 Li 3.66
7 Tl 0.3167 0.6012 0.9992  4 In 3.24-3.48, 7 Tl 3.40-3.62
8 Tl 0.3966 0.7106 0.3931  4 In 3.25-3.62, 1 Li 3.27, 7 Tl 3.41-3.61
9 Tl 0.0009 0.3217 0.6000  4 In 3.24-3.53, 7 Tl 3.43-3.60
10 Tl 0.0034 0.3564 0.0018  4 Tl 3.40-3.65, 5 In 3.49-3.63, 1 Li 3.57
11 Tl 0.2876 0.6826 0.6814  5 In 3.27-3.61, 7 Tl 3.46-3.62
12 Tl 0.6026 0.0001 0.3195  5 In 3.23-3.58, 7 Tl 3.44-3.61
13 Tl 0.0001 0.6026 0.3195  5 In 3.23-3.58, 7 Tl 3.44-3.61
14 Tl 0.6826 0.2876 0.6814  5 In 3.27-3.61, 7 Tl 3.46-3.62
15 Tl 0.3564 0.0034 0.0018  4 Tl 3.40-3.65, 5 In 3.49-3.63, 1 Li 3.57
16 Tl 0.3217 0.0009 0.6000  4 In 3.24-3.53, 7 Tl 3.43-3.60
17 Tl 0.7106 0.3966 0.3931  4 In 3.25-3.62, 1 Li 3.27, 7 Tl 3.41-3.61
18 Tl 0.6012 0.3167 0.9992  4 In 3.24-3.48, 7 Tl 3.40-3.62
19 In 0.1980 0.1980 0.8392  1 Li 2.98, 2 In 3.22, 1 Tl 3.26
20 In 0.6299 0.8109 0.9991  3 In 3.04-3.20, 3 Tl 3.24-3.41
21 In 0.1836 0.3676 0.3628  2 In 3.05-3.09, 1 Li 3.06, 3 Tl 3.27-3.41
22 In 0.8149 0.0015 0.6305  3 In 3.06-3.22, 2 Tl 3.23-3.41
23 In 0.6359 0.0013 0.8122  3 In 3.06-3.20, 3 Tl 3.24-3.38
24 In 0.8206 0.1866 0.1908  3 In 3.05-3.20, 3 Tl 3.25-3.41
25 In 0.1866 0.8206 0.1908  3 In 3.05-3.20, 3 Tl 3.25-3.41
26 In 0.0013 0.6359 0.8122  3 In 3.06-3.20, 3 Tl 3.24-3.38
27 In 0.0015 0.8149 0.6305  3 In 3.06-3.22, 2 Tl 3.23-3.41
28 In 0.3676 0.1836 0.3628  2 In 3.05-3.09, 1 Li 3.06, 3 Tl 3.27-3.41
29 In 0.8109 0.6299 0.9991  3 In 3.04-3.20, 3 Tl 3.24-3.41

Summary:
- Crystal system: monoclinic
- Total moment: 0.000 μB/atom
- Space-group type: No. 8
- DOS at the Fermi energy: 12.536 states/eV/f.u.
- Formation enthalpy at 0 K: 0.00 eV/atom


Record 4
# Li3TlIn3

An optimized crystal structure of Li3TlIn3 (PBE, Alexandria).

a = 7.5095 Å, b = 7.5095 Å, c = 7.5095 Å
α = 90.00°, β = 90.00°, γ = 90.00°
Last column: nearest neighbours and their distance in Å.
Atoms (fractional coordinates):
1 Tl 0.5000 0.5000 0.5000  12 In 4.20, 12 Li 4.20
2 Tl 0.0000 0.0000 0.0000  12 In 4.20, 12 Li 4.20
3 Li 0.0000 0.2500 0.5000  4 In 2.66
4 Li 0.0000 0.7500 0.5000  4 In 2.66
5 Li 0.5000 0.0000 0.7500  4 In 2.66
6 Li 0.7500 0.5000 0.0000  4 In 2.66
7 Li 0.5000 0.0000 0.2500  4 In 2.66
8 Li 0.2500 0.5000 0.0000  4 In 2.66
9 In 0.2500 0.0000 0.5000  4 Li 2.66
10 In 0.0000 0.5000 0.2500  4 Li 2.66
11 In 0.5000 0.7500 0.0000  4 Li 2.66
12 In 0.7500 0.0000 0.5000  4 Li 2.66
13 In 0.0000 0.5000 0.7500  4 Li 2.66
14 In 0.5000 0.2500 0.0000  4 Li 2.66

Summary:
- Crystal system: cubic
- Total moment: 0.000 μB/atom
- Space-group type: No. 223
- DOS at the Fermi energy: 3.890 states/eV/f.u.
- Formation enthalpy at 0 K: 0.30 eV/atom


Record 5
# Li6TlIn2

An optimized crystal structure of Li6TlIn2 (PBE, Alexandria).

a = 2.9478 Å, b = 8.1684 Å, c = 8.1684 Å
α = 60.00°, β = 89.99°, γ = 89.99°
Last column: nearest neighbours and their distance in Å.
Atoms (fractional coordinates):
1 Li 0.5008 0.9999 0.3356  5 Li 2.69-2.95
2 Li 0.4992 0.0001 0.6644  5 Li 2.69-2.95
3 Li 0.4992 0.6644 0.0001  5 Li 2.69-2.95
4 Li 0.5000 0.3358 0.6642  5 Li 2.68-2.95
5 Li 0.5000 0.6642 0.3358  5 Li 2.68-2.95
6 Li 0.5008 0.3356 0.9999  5 Li 2.69-2.95
7 Tl 0.0000 0.0000 0.0000  2 Tl 2.95, 12 Li 3.11
8 In 0.0004 0.3333 0.3333  2 In 2.95, 12 Li 3.09
9 In 0.9996 0.6667 0.6667  2 In 2.95, 12 Li 3.09

Summary:
- Crystal system: hexagonal
- Total moment: 0.000 μB/atom
- Space-group type: No. 191
- DOS at the Fermi energy: 3.890 states/eV/f.u.
- Formation enthalpy at 0 K: -0.25 eV/atom


Record 6
# Li6Tl5In

An optimized crystal structure of Li6Tl5In (PBE, Alexandria).

a = 4.8847 Å, b = 7.0120 Å, c = 8.4730 Å
α = 114.44°, β = 106.99°, γ = 90.00°
Last column: nearest neighbours and their distance in Å.
Atoms (fractional coordinates):
1 Tl 0.6608 0.1620 0.3235  8 Li 2.96-3.05
2 Tl 0.3304 0.3329 0.6657  8 Li 2.99-3.01
3 Tl 0.0000 0.5000 0.0000  8 Li 2.99-3.00
4 Tl 0.6696 0.6671 0.3343  8 Li 2.99-3.01
5 Tl 0.3392 0.8380 0.6765  8 Li 2.96-3.05
6 In 0.0000 0.0000 0.0000  8 Li 3.01-3.02
7 Li 0.8320 0.5818 0.6657  7 Tl 2.99-3.05, 1 In 3.01
8 Li 0.8321 0.0840 0.6655  7 Tl 2.99-3.05, 1 In 3.01
9 Li 0.5001 0.7467 0.0003  6 Tl 2.96-2.99, 2 In 3.02
10 Li 0.4999 0.2533 0.9997  6 Tl 2.96-2.99, 2 In 3.02
11 Li 0.1679 0.9160 0.3345  7 Tl 2.99-3.05, 1 In 3.01
12 Li 0.1680 0.4182 0.3343  7 Tl 2.99-3.05, 1 In 3.01

Summary:
- Crystal system: monoclinic
- Total moment: 0.000 μB/atom
- Space-group type: No. 12
- DOS at the Fermi energy: 4.957 states/eV/f.u.
- Formation enthalpy at 0 K: -0.23 eV/atom


Record 7
# Li15Tl2In2

An optimized crystal structure of Li15Tl2In2 (PBE, Alexandria).

a = 7.6398 Å, b = 7.6398 Å, c = 7.6398 Å
α = 65.74°, β = 65.74°, γ = 65.74°
Last column: nearest neighbours and their distance in Å.
Atoms (fractional coordinates):
1 Li 0.0000 0.5000 0.0000  2 In 2.77, 4 Li 2.94
2 Li 0.0000 0.0000 0.5000  2 In 2.77, 4 Li 2.94
3 Li 0.5000 0.0000 0.0000  2 In 2.77, 4 Li 2.94
4 Li 0.3046 0.0000 0.6954  4 Li 2.53-2.58
5 Li 0.6954 0.3046 0.0000  4 Li 2.53-2.58
6 Li 0.0000 0.6954 0.3046  4 Li 2.53-2.58
7 Li 0.3046 0.6954 0.0000  4 Li 2.53-2.58
8 Li 0.0000 0.3046 0.6954  4 Li 2.53-2.58
9 Li 0.6954 0.0000 0.3046  4 Li 2.53-2.58
10 Li 0.4346 0.8085 0.4346  4 Li 2.58-2.77
11 Li 0.4346 0.4346 0.8085  4 Li 2.58-2.77
12 Li 0.8085 0.4346 0.4346  4 Li 2.58-2.77
13 Li 0.5654 0.1915 0.5654  4 Li 2.58-2.77
14 Li 0.5654 0.5654 0.1915  4 Li 2.58-2.77
15 Li 0.1915 0.5654 0.5654  4 Li 2.58-2.77
16 Tl 0.7100 0.7100 0.7100  15 Li 2.99-3.25
17 Tl 0.2900 0.2900 0.2900  15 Li 2.99-3.25
18 In 0.9112 0.9112 0.9112  9 Li 2.77-2.98
19 In 0.0888 0.0888 0.0888  9 Li 2.77-2.98

Summary:
- Crystal system: trigonal
- Total moment: 0.000 μB/atom
- Space-group type: No. 166
- DOS at the Fermi energy: 4.009 states/eV/f.u.
- Formation enthalpy at 0 K: -0.10 eV/atom


Record 8
# Li2TlIn8

An optimized crystal structure of Li2TlIn8 (PBE, Alexandria).

a = 4.3822 Å, b = 9.0901 Å, c = 8.7122 Å
α = 122.00°, β = 104.57°, γ = 90.00°
Last column: nearest neighbours and their distance in Å.
Atoms (fractional coordinates):
1 Li 0.1860 0.6859 0.3720  10 In 3.01-3.26
2 Li 0.8140 0.3141 0.6280  10 In 3.01-3.26
3 Tl 0.5000 0.0000 0.0000  8 In 3.22-3.36
4 In 0.6615 0.4290 0.3230  3 Li 3.06-3.26, 7 In 3.21-3.34, 1 Tl 3.32
5 In 0.3393 0.1089 0.6786  3 Li 3.06-3.25, 7 In 3.19-3.36, 1 Tl 3.36
6 In 0.1673 0.1648 0.3347  2 Li 3.01, 6 In 3.21-3.29, 2 Tl 3.22
7 In 0.9998 0.6747 0.9996  2 Li 3.05-3.09, 5 In 3.18-3.21
8 In 0.8327 0.8352 0.6653  2 Li 3.01, 6 In 3.21-3.29, 2 Tl 3.22
9 In 0.6607 0.8911 0.3214  3 Li 3.06-3.25, 7 In 3.19-3.36, 1 Tl 3.36
10 In 0.3385 0.5710 0.6770  3 Li 3.06-3.26, 7 In 3.21-3.34, 1 Tl 3.32
11 In 0.0002 0.3253 0.0004  2 Li 3.05-3.09, 5 In 3.18-3.21

Summary:
- Crystal system: monoclinic
- Total moment: 0.000 μB/atom
- Space-group type: No. 12
- DOS at the Fermi energy: 4.738 states/eV/f.u.
- Formation enthalpy at 0 K: -0.05 eV/atom